Entry 1:
# BiB2MoRu PBE relaxed
# ΔE_f: 127 kJ/mol of atoms
data_BiB2MoRu
_cell_length_a 4.058
_cell_length_b 4.058
_cell_length_c 5.594
_cell_angle_alpha 90.00
_cell_angle_beta 90.00
_cell_angle_gamma 90.00
_space_group_name_H-M_alt 'P 1'
_space_group_IT_number 1
loop_
_space_group_symop_operation_xyz
'x,y,z'
loop_
_atom_site_label
_atom_site_fract_x
_atom_site_fract_y
_atom_site_fract_z
Bi1 0.000 0.000 0.000
B1 0.000 0.500 0.500
B2 0.500 0.000 0.500
Mo1 0.500 0.500 0.000
Ru1 0.000 0.000 0.500


Entry 2:
# YBi2BMo PBE relaxed
# ΔE_f: 39 kJ/mol of atoms
data_YBi2BMo
_cell_length_a 5.202
_cell_length_b 5.202
_cell_length_c 4.216
_cell_angle_alpha 90.00
_cell_angle_beta 90.00
_cell_angle_gamma 90.00
_space_group_name_H-M_alt 'P 1'
_space_group_IT_number 1
loop_
_space_group_symop_operation_xyz
'x,y,z'
loop_
_atom_site_label
_atom_site_fract_x
_atom_site_fract_y
_atom_site_fract_z
Y1 0.000 0.000 0.000
Bi1 0.000 0.500 0.500
Bi2 0.500 0.000 0.500
B1 0.500 0.500 0.500
Mo1 0.500 0.500 0.000


Entry 3:
# BiB2N PBE relaxed
# E_form (uncorrected): 721 meV per atom
data_BiB2N
_cell_length_a 4.680
_cell_length_b 4.680
_cell_length_c 8.709
_cell_angle_alpha 90.00
_cell_angle_beta 90.00
_cell_angle_gamma 90.00
_space_group_name_H-M_alt 'P 1'
_space_group_IT_number 1
loop_
_space_group_symop_operation_xyz
'x,y,z'
loop_
_atom_site_label
_atom_site_fract_x
_atom_site_fract_y
_atom_site_fract_z
Bi1 0.000 0.000 0.000
Bi2 0.000 0.500 0.250
Bi3 0.500 0.000 0.750
Bi4 0.500 0.500 0.500
B1 0.125 0.250 0.625
B2 0.250 0.625 0.875
B3 0.250 0.875 0.375
B4 0.375 0.250 0.125
B5 0.625 0.750 0.125
B6 0.750 0.125 0.375
B7 0.750 0.375 0.875
B8 0.875 0.750 0.625
N1 0.000 0.000 0.500
N2 0.000 0.500 0.750
N3 0.500 0.000 0.250
N4 0.500 0.500 0.000


Entry 4:
# BiBN2 PBE relaxed
# E_form (uncorrected): -16 meV per atom
data_BiBN2
_cell_length_a 3.771
_cell_length_b 3.771
_cell_length_c 15.434
_cell_angle_alpha 90.00
_cell_angle_beta 90.00
_cell_angle_gamma 120.00
_space_group_name_H-M_alt 'P 1'
_space_group_IT_number 1
loop_
_space_group_symop_operation_xyz
'x,y,z'
loop_
_atom_site_label
_atom_site_fract_x
_atom_site_fract_y
_atom_site_fract_z
Bi1 0.000 0.000 0.000
Bi2 0.333 0.667 0.667
Bi3 0.667 0.333 0.333
B1 0.000 0.000 0.500
B2 0.333 0.667 0.167
B3 0.667 0.333 0.833
N1 0.000 0.000 0.413
N2 0.000 0.000 0.587
N3 0.333 0.667 0.080
N4 0.333 0.667 0.254
N5 0.667 0.333 0.746
N6 0.667 0.333 0.920


Entry 5:
# BiB3N PBE relaxed
# E_form (uncorrected): 2012 meV per atom
data_BiB3N
_cell_length_a 3.843
_cell_length_b 3.843
_cell_length_c 3.843
_cell_angle_alpha 90.00
_cell_angle_beta 90.00
_cell_angle_gamma 90.00
_space_group_name_H-M_alt 'P 1'
_space_group_IT_number 1
loop_
_space_group_symop_operation_xyz
'x,y,z'
loop_
_atom_site_label
_atom_site_fract_x
_atom_site_fract_y
_atom_site_fract_z
Bi1 0.000 0.000 0.000
B1 0.000 0.500 0.500
B2 0.500 0.000 0.500
B3 0.500 0.500 0.000
N1 0.500 0.500 0.500


Entry 6:
# BiBN2 PBE relaxed
# E_form (uncorrected): 249 meV per atom
data_BiBN2
_cell_length_a 5.099
_cell_length_b 5.099
_cell_length_c 6.768
_cell_angle_alpha 90.00
_cell_angle_beta 90.00
_cell_angle_gamma 90.00
_space_group_name_H-M_alt 'P 1'
_space_group_IT_number 1
loop_
_space_group_symop_operation_xyz
'x,y,z'
loop_
_atom_site_label
_atom_site_fract_x
_atom_site_fract_y
_atom_site_fract_z
Bi1 0.000 0.000 0.000
Bi2 0.000 0.500 0.250
Bi3 0.500 0.000 0.750
Bi4 0.500 0.500 0.500
B1 0.000 0.000 0.500
B2 0.000 0.500 0.750
B3 0.500 0.000 0.250
B4 0.500 0.500 0.000
N1 0.104 0.250 0.625
N2 0.250 0.604 0.875
N3 0.250 0.896 0.375
N4 0.396 0.250 0.125
N5 0.604 0.750 0.125
N6 0.750 0.104 0.375
N7 0.750 0.396 0.875
N8 0.896 0.750 0.625